<1>
DFT (PBE) results for a relaxed BiPbI2 crystal.

Fermi-level density of states: 5.62 states/eV/cell
SG: I-42d (122)

Cell lengths 7.402, 7.402, 7.402 Å; angles 104.67, 104.67, 119.57 degrees
Element x y z (fractional)
Bi1 0.000 0.000 0.000
Bi2 0.750 0.250 0.500
Pb1 0.250 0.750 0.500
Pb2 0.500 0.500 0.000
I1 0.124 0.625 0.999
I2 0.375 0.374 0.499
I3 0.626 0.125 0.001
I4 0.875 0.876 0.501

=====

<2>
DFT (PBE) results for a relaxed BiPbI2 crystal.

Fermi-level density of states: 4.42 states/eV/cell
SG: Fm-3m (225)

Cell lengths 5.765, 5.765, 5.765 Å; angles 60.00, 60.00, 60.00 degrees
Element x y z (fractional)
Bi1 0.000 0.000 0.000
Pb1 0.500 0.500 0.500
I1 0.250 0.250 0.250
I2 0.750 0.750 0.750

=====

<1> is the most stable structure; the next one sits 0.073 eV/atom above it.